13
Lattice="-5.353 -1.188 2.985 -0.186 -7.764 3.104 0.270 2.455 7.991" Properties=species:S:1:pos:R:3 comment="Y7Sn5Bi GGA-PBE relaxed" formation_energy_mev_per_atom=-524 density_g_cm3=6.31 pbc="T T T"
Y -3.327 -2.724 6.007
Y -1.211 -4.327 9.163
Y 0.055 -0.903 6.267
Y -0.098 -4.310 4.638
Y -1.451 -1.523 3.320
Y -2.932 -6.573 5.184
Y -2.625 0.294 8.467
Sn -2.814 -7.127 8.417
Sn -0.155 -6.537 6.935
Sn -2.580 -1.882 10.926
Sn 0.079 -1.292 9.443
Sn -4.064 -4.788 10.392
Bi -5.051 -1.417 3.436